(1)
Here is a relaxed Sr2LiRh crystal from Alexandria. Energies are from PBE-GGA.

The structure in POSCAR format:
```
Sr2LiRh
1.0
-1.8806 1.8806 8.8301
1.8806 -1.8806 8.8301
1.8806 1.8806 -8.8301
Sr Li Rh
2 1 1
direct
0.1521 0.1521 0.0000
0.8479 0.8479 0.0000
0.5000 0.5000 0.0000
0.0000 0.0000 0.0000
```

Calculated values
N(E_F), states/eV/f.u.: 3.27
Energy relative to the elements, eV/atom: 0.112
Energy, eV/atom: -3.05


(2)
Here is a relaxed NaHgH3 crystal from Alexandria. Energies are from PBE-GGA.

The structure in POSCAR format:
```
NaHgH3
1.0
3.9691 0.0000 0.0000
0.0000 3.9691 0.0000
0.0000 0.0000 3.9691
Na Hg H
1 1 3
direct
0.0000 0.0000 0.0000
0.5000 0.5000 0.5000
0.0000 0.5000 0.5000
0.5000 0.0000 0.5000
0.5000 0.5000 0.0000
```

Calculated values
N(E_F), states/eV/f.u.: 0.56
Relative energy among the computed polymorphs, eV per atom: 0.000
Energy, eV/atom: -2.17


(3)
Here is a relaxed H4IF crystal from Alexandria. Energies are from PBE-GGA.

The structure in POSCAR format:
```
H4IF
1.0
5.5683 0.0000 0.0000
-0.4075 7.2172 0.0000
-2.1793 -3.0723 6.2351
H I F
8 2 2
direct
0.0000 0.0000 0.0000
0.0106 0.9999 0.1052
0.2860 0.3802 0.5035
0.3724 0.7525 0.9103
0.5094 0.7880 0.9258
0.5303 0.2336 0.8684
0.5628 0.2045 0.9597
0.8786 0.3007 0.5110
0.3134 0.6378 0.3345
0.8631 0.7640 0.4322
0.1915 0.3067 0.5521
0.6989 0.2875 0.4885
```

Calculated values
N(E_F), states/eV/f.u.: 0.28
Energy, eV/atom: -3.32


(4)
Here is a relaxed TbPrTmTh2 crystal from Alexandria. Energies are from PBE-GGA.

The structure in POSCAR format:
```
TbPrTmTh2
1.0
3.3479 -7.8217 0.0000
3.3479 7.8217 0.0000
0.0000 0.0000 6.6973
Tb Pr Tm Th
2 2 2 4
direct
0.1515 0.8485 0.7500
0.8485 0.1515 0.2500
0.2496 0.7504 0.2500
0.7504 0.2496 0.7500
0.3498 0.6502 0.7500
0.6502 0.3498 0.2500
0.2506 0.2506 0.0000
0.2506 0.2506 0.5000
0.7494 0.7494 0.0000
0.7494 0.7494 0.5000
```

Calculated values
N(E_F), states/eV/f.u.: 7.70
Energy relative to the elements, eV/atom: 0.366
Energy, eV/atom: -5.38